VAsSe2O: relaxed, PBE with a Hubbard U.

- ΔE to the lowest computed polymorph: 182 meV per atom

a b c (Å): 4.645 4.645 4.808
angles (deg): 90.00 90.00 90.00
Fractional positions:
1 V 0.000 0.000 0.000
2 As 0.000 0.000 0.500
3 Se 0.000 0.500 0.000
4 Se 0.500 0.000 0.000
5 O 0.500 0.500 0.500